The following is a DFT calculation (PBE) of a relaxed structure of Rb2SiSbF6.

Calculated values
E_form (uncorrected) = -2.410 eV per atom
Space-group type = I4/mmm, No. 139
DOS(E_F) = 0.392 states/eV per atom

Cell and atoms, written as CIF:
```
data_Rb2SiSbF6
_symmetry_space_group_name_H-M 'P 1'
_symmetry_Int_Tables_number 1
_cell_length_a 6.231
_cell_length_b 6.231
_cell_length_c 6.962
_cell_angle_alpha 63.42
_cell_angle_beta 63.42
_cell_angle_gamma 90.00
loop_
_symmetry_equiv_pos_as_xyz
'x,y,z'
loop_
_atom_site_label
_atom_site_type_symbol
_atom_site_fract_x
_atom_site_fract_y
_atom_site_fract_z
_atom_site_occupancy
Sb1 Sb 0.000 0.000 0.000 1
Si1 Si 0.500 0.500 0.000 1
Rb1 Rb 0.750 0.250 0.500 1
Rb2 Rb 0.250 0.750 0.500 1
F1 F 0.341 0.341 0.318 1
F2 F 0.659 0.659 0.682 1
F3 F 0.304 0.304 0.000 1
F4 F 0.696 0.696 0.000 1
F5 F 0.696 0.304 0.000 1
F6 F 0.304 0.696 0.000 1
```

The following is a DFT calculation (PBE) of a relaxed structure of Rb2SnSbF6.

Calculated values
E_form (uncorrected) = -2.210 eV per atom
Space-group type = I4/mmm, No. 139
DOS(E_F) = 0.602 states/eV per atom

Cell and atoms, written as CIF:
```
data_Rb2SnSbF6
_symmetry_space_group_name_H-M 'P 1'
_symmetry_Int_Tables_number 1
_cell_length_a 6.774
_cell_length_b 6.774
_cell_length_c 6.677
_cell_angle_alpha 59.52
_cell_angle_beta 59.52
_cell_angle_gamma 90.00
loop_
_symmetry_equiv_pos_as_xyz
'x,y,z'
loop_
_atom_site_label
_atom_site_type_symbol
_atom_site_fract_x
_atom_site_fract_y
_atom_site_fract_z
_atom_site_occupancy
Sb1 Sb 0.000 0.000 0.000 1
Sn1 Sn 0.500 0.500 0.000 1
Rb1 Rb 0.750 0.250 0.500 1
Rb2 Rb 0.250 0.750 0.500 1
F1 F 0.241 0.241 0.518 1
F2 F 0.759 0.759 0.482 1
F3 F 0.249 0.249 0.000 1
F4 F 0.751 0.751 0.000 1
F5 F 0.751 0.249 0.000 1
F6 F 0.249 0.751 0.000 1
```

The following is a DFT calculation (PBE) of a relaxed structure of Rb2TcSbF6.

Calculated values
E_form (uncorrected) = -1.981 eV per atom
Space-group type = I4/mmm, No. 139
DOS(E_F) = 0.000 states/eV per atom

Cell and atoms, written as CIF:
```
data_Rb2TcSbF6
_symmetry_space_group_name_H-M 'P 1'
_symmetry_Int_Tables_number 1
_cell_length_a 6.134
_cell_length_b 6.134
_cell_length_c 7.102
_cell_angle_alpha 64.42
_cell_angle_beta 64.42
_cell_angle_gamma 90.00
loop_
_symmetry_equiv_pos_as_xyz
'x,y,z'
loop_
_atom_site_label
_atom_site_type_symbol
_atom_site_fract_x
_atom_site_fract_y
_atom_site_fract_z
_atom_site_occupancy
Sb1 Sb 0.000 0.000 0.000 1
Tc1 Tc 0.500 0.500 0.000 1
Rb1 Rb 0.750 0.250 0.500 1
Rb2 Rb 0.250 0.750 0.500 1
F1 F 0.322 0.322 0.355 1
F2 F 0.678 0.678 0.645 1
F3 F 0.261 0.261 0.000 1
F4 F 0.739 0.739 0.000 1
F5 F 0.739 0.261 0.000 1
F6 F 0.261 0.739 0.000 1
```

The following is a DFT calculation (PBE) of a relaxed structure of Rb2SbTeF6.

Calculated values
E_form (uncorrected) = -2.080 eV per atom
Space-group type = I4/mmm, No. 139
DOS(E_F) = 0.342 states/eV per atom

Cell and atoms, written as CIF:
```
data_Rb2SbTeF6
_symmetry_space_group_name_H-M 'P 1'
_symmetry_Int_Tables_number 1
_cell_length_a 7.395
_cell_length_b 7.395
_cell_length_c 6.861
_cell_angle_alpha 57.39
_cell_angle_beta 57.39
_cell_angle_gamma 90.00
loop_
_symmetry_equiv_pos_as_xyz
'x,y,z'
loop_
_atom_site_label
_atom_site_type_symbol
_atom_site_fract_x
_atom_site_fract_y
_atom_site_fract_z
_atom_site_occupancy
Sb1 Sb 0.500 0.500 0.000 1
Te1 Te 0.000 0.000 0.000 1
Rb1 Rb 0.750 0.250 0.500 1
Rb2 Rb 0.250 0.750 0.500 1
F1 F 0.249 0.249 0.502 1
F2 F 0.751 0.751 0.498 1
F3 F 0.296 0.296 0.000 1
F4 F 0.704 0.704 0.000 1
F5 F 0.704 0.296 0.000 1
F6 F 0.296 0.704 0.000 1
```